Crystalline Tb at its relaxed geometry, computed with GGA-PBEsol.

```
data_Tb
_chemical_formula_sum 'Tb3'
_symmetry_space_group_name_H-M 'P 1'
_symmetry_Int_Tables_number 1
_symmetry_space_group_name_Hall 'P 1'
_cell_length_a 3.508
_cell_length_b 3.508
_cell_length_c 8.652
_cell_angle_alpha 78.30
_cell_angle_beta 78.30
_cell_angle_gamma 59.99
loop_
_atom_site_label
_atom_site_type_symbol
_atom_site_fract_x
_atom_site_fract_y
_atom_site_fract_z
Tb1 Tb 0.000 0.000 0.000
Tb2 Tb 0.778 0.778 0.667
Tb3 Tb 0.222 0.222 0.333
```

## Properties
excess energy over the best structure of this formula in the dataset: 0 meV per atom
energy of formation: 0.000 eV/atom
M_tot: 0.0 Bohr magnetons per cell